Record 1
Below is an optimized crystal structure of CeAsPd, with properties calculated at the PBE-GGA level.

Cell: 4.6030 4.6030 21.9684 Å, 90.00 90.00 120.00°
Last column: nearest neighbours and their distance in Å.
Space group R-3m (No. 166, hexagonal axes)
Unique sites:
Ce 0.0000 0.0000 0.1222 [6 per cell]  3 As 2.93, 3 Pd 3.06
As 0.0000 0.0000 0.3998 [6 per cell]  4 Pd 2.63-2.67, 3 Ce 2.93
Pd 0.0000 0.0000 0.2799 [6 per cell]  4 As 2.63-2.67

Properties
DOS at the Fermi energy = 35.88 states/eV/cell
energy of formation = -0.581 eV per atom

Record 2
Below is an optimized crystal structure of CeAs2Pd2, with properties calculated at the PBE-GGA level.

Cell: 5.8100 10.1322 13.7593 Å, 90.00 90.00 90.00°
Last column: nearest neighbours and their distance in Å.
Space group Fddd (No. 70, origin choice 2)
Unique sites:
Ce 0.1250 0.1250 0.1250 [8 per cell]  2 As 2.94, 4 Pd 3.22
As 0.1250 0.3345 0.6250 [16 per cell]  4 Pd 2.54-2.55
Pd 0.1250 0.1250 0.5240 [16 per cell]  4 As 2.54-2.55, 1 Pd 2.78

Properties
DOS at the Fermi energy = 58.11 states/eV/cell
energy of formation = -0.724 eV per atom

no.,total magnetization (μB/cell)
1,6.19
2,6.45